Here is a PBEsol-optimized structure of Zr3Ag2 from the Alexandria database. Energies are from SCAN. Values from VASP.

Output
Relative energy among the computed polymorphs   0.0 meV/atom
DFT total energy   -31.04 eV/atom
Energy relative to the elements   -0.07 eV/atom

Cell and atoms, written as Quantum ESPRESSO input:
```
&SYSTEM
  ibrav = 0, nat = 5, ntyp = 2
/
ATOMIC_SPECIES
Zr 91.22 Zr.upf
Ag 107.87 Ag.upf
ATOMIC_POSITIONS crystal
Zr 0.000 0.000 0.000
Zr 0.197 0.197 0.000
Zr 0.803 0.803 0.000
Ag 0.403 0.403 0.000
Ag 0.597 0.597 0.000
CELL_PARAMETERS angstrom
-1.520 1.520 10.644
1.520 -1.520 10.644
1.520 1.520 -10.644
```

***

Here is a PBEsol-optimized structure of ZrAg2 from the Alexandria database. Energies are from SCAN. Values from VASP.

Output
Relative energy among the computed polymorphs   152.1 meV/atom
DFT total energy   -31.10 eV/atom
Energy relative to the elements   0.05 eV/atom

Cell and atoms, written as Quantum ESPRESSO input:
```
&SYSTEM
  ibrav = 0, nat = 6, ntyp = 2
/
ATOMIC_SPECIES
Zr 91.22 Zr.upf
Ag 107.87 Ag.upf
ATOMIC_POSITIONS crystal
Zr 0.171 0.171 0.324
Zr 0.829 0.829 0.676
Ag 0.159 0.159 0.834
Ag 0.500 0.500 0.000
Ag 0.500 0.500 0.500
Ag 0.841 0.841 0.166
CELL_PARAMETERS angstrom
6.176 -1.501 0.000
6.176 1.501 0.000
-1.590 0.000 5.953
```

***

Here is a PBEsol-optimized structure of ZrAg5 from the Alexandria database. Energies are from SCAN. Values from VASP.

Output
Relative energy among the computed polymorphs   58.3 meV/atom
DFT total energy   -31.21 eV/atom
Energy relative to the elements   0.05 eV/atom

Cell and atoms, written as Quantum ESPRESSO input:
```
&SYSTEM
  ibrav = 0, nat = 6, ntyp = 2
/
ATOMIC_SPECIES
Zr 91.22 Zr.upf
Ag 107.87 Ag.upf
ATOMIC_POSITIONS crystal
Zr 0.000 0.000 0.000
Ag 0.169 0.831 0.500
Ag 0.333 0.667 0.000
Ag 0.500 0.500 0.500
Ag 0.667 0.333 0.000
Ag 0.831 0.169 0.500
CELL_PARAMETERS angstrom
2.136 -6.133 0.000
2.136 6.133 0.000
0.000 0.000 4.006
```

***

Here is a PBEsol-optimized structure of ZrAg2 from the Alexandria database. Energies are from SCAN. Values from VASP.

Output
Relative energy among the computed polymorphs   69.4 meV/atom
DFT total energy   -31.18 eV/atom
Energy relative to the elements   -0.04 eV/atom

Cell and atoms, written as Quantum ESPRESSO input:
```
&SYSTEM
  ibrav = 0, nat = 6, ntyp = 2
/
ATOMIC_SPECIES
Zr 91.22 Zr.upf
Ag 107.87 Ag.upf
ATOMIC_POSITIONS crystal
Zr 0.162 0.162 0.091
Zr 0.838 0.838 0.909
Ag 0.168 0.168 0.572
Ag 0.490 0.490 0.266
Ag 0.510 0.510 0.734
Ag 0.832 0.832 0.428
CELL_PARAMETERS angstrom
5.590 -1.642 0.000
5.590 1.642 0.000
-1.876 0.000 6.044
```

***

Here is a PBEsol-optimized structure of Al from the Alexandria database. Energies are from SCAN. Values from VASP.

Output
Relative energy among the computed polymorphs   82.7 meV/atom
DFT total energy   -7.67 eV/atom
Energy relative to the elements   0.08 eV/atom

Cell and atoms, written as Quantum ESPRESSO input:
```
&SYSTEM
  ibrav = 0, nat = 1, ntyp = 1
/
ATOMIC_SPECIES
Al 26.98 Al.upf
ATOMIC_POSITIONS crystal
Al 0.000 0.000 0.000
CELL_PARAMETERS angstrom
-1.603 1.603 1.603
1.603 -1.603 1.603
1.603 1.603 -1.603
```

***

Here is a PBEsol-optimized structure of Al from the Alexandria database. Energies are from SCAN. Values from VASP.

Output
Relative energy among the computed polymorphs   55.4 meV/atom
DFT total energy   -7.70 eV/atom
Energy relative to the elements   0.06 eV/atom

Cell and atoms, written as Quantum ESPRESSO input:
```
&SYSTEM
  ibrav = 0, nat = 8, ntyp = 1
/
ATOMIC_SPECIES
Al 26.98 Al.upf
ATOMIC_POSITIONS crystal
Al 0.000 0.000 0.000
Al 0.000 0.250 0.500
Al 0.000 0.750 0.500
Al 0.250 0.500 0.000
Al 0.500 0.000 0.250
Al 0.500 0.000 0.750
Al 0.500 0.500 0.500
Al 0.750 0.500 0.000
CELL_PARAMETERS angstrom
5.104 0.000 0.000
0.000 5.104 0.000
0.000 0.000 5.104
```